4
Lattice="-0.857 -2.566 0.922 -0.432 -2.119 -1.869 8.390 -4.175 0.611" Properties=species:S:1:pos:R:3 comment="ReOs2Pb (SCAN, PBEsol geometry)" spacegroup="R3m (160)" formation_energy_ev_per_atom=0.821 dos_at_fermi_per_ev_atom=0.6769 pbc="T T T"
Pb 3.531 -4.425 -0.170
Re 5.546 -6.711 -0.229
Os 1.572 -2.155 -0.105
Os -1.287 -4.686 -0.947

=====

4
Lattice="2.895 0.000 0.000 0.000 4.788 0.005 0.000 -1.318 4.603" Properties=species:S:1:pos:R:3 comment="ReOs2Pb (SCAN, PBEsol geometry)" spacegroup="Cmmm (65)" formation_energy_ev_per_atom=1.052 dos_at_fermi_per_ev_atom=0.9362 pbc="T T T"
Os 0.000 2.394 0.003
Os 0.000 -0.659 2.302
Re 1.448 1.735 2.304
Pb 1.448 0.000 0.000